1.
Computed, not measured: an optimized crystal structure of SbRu3 at the PBE-GGA level of DFT.

Unit cell a=6.308 b=6.308 c=6.308 alpha=90.00 beta=90.00 gamma=90.00
Space group Fm-3m (No. 225)
Inequivalent atoms, fractional coordinates:
Sb  0.000  0.000  0.000
Ru  0.000  0.000  0.500
Ru  0.250  0.250  0.250

N(E_F) = 21.73 states/eV/cell
energy relative to the elements, uncorrected = 0.31 eV/atom
V = 15.69 A^3/atom


2.
Computed, not measured: an optimized crystal structure of Sb3Ru at the PBE-GGA level of DFT.

Unit cell a=3.184 b=3.184 c=9.245 alpha=90.00 beta=90.00 gamma=90.00
Space group P4/mmm (No. 123)
Inequivalent atoms, fractional coordinates:
Sb  0.000  0.000  0.000
Sb  0.500  0.500  0.316
Ru  0.000  0.000  0.500

N(E_F) = 1.84 states/eV/cell
energy relative to the elements, uncorrected = 0.05 eV/atom
V = 23.43 A^3/atom
E above lowest polymorph = 51 meV per atom


3.
Computed, not measured: an optimized crystal structure of Sb2Ru at the PBE-GGA level of DFT.

Unit cell a=5.8109 b=5.8109 c=11.1011 alpha=90.00 beta=90.00 gamma=120.00
Space group P6_3/mmc (No. 194)
Inequivalent atoms, fractional coordinates:
Sb  0.0000  0.0000  0.0000
Sb  0.1652  0.3303  0.2500
Ru  0.3333  0.6667  0.0696

N(E_F) = 4.41 states/eV/cell
energy relative to the elements, uncorrected = 0.85 eV/atom
V = 27.05 A^3/atom


4.
Computed, not measured: an optimized crystal structure of Sb2Ru at the PBE-GGA level of DFT.

Unit cell a=8.341 b=8.341 c=8.341 alpha=90.00 beta=90.00 gamma=90.00
Space group Fd-3m (No. 227, origin choice 2)
Inequivalent atoms, fractional coordinates:
Sb  0.000  0.000  0.000
Ru  0.125  0.125  0.625

N(E_F) = 29.66 states/eV/cell
energy relative to the elements, uncorrected = 1.31 eV/atom
V = 24.18 A^3/atom


5.
Computed, not measured: an optimized crystal structure of SbRu at the PBE-GGA level of DFT.

Unit cell a=3.1103 b=3.1103 c=31.0529 alpha=90.00 beta=90.00 gamma=120.00
Space group R-3m (No. 166, hexagonal axes)
Inequivalent atoms, fractional coordinates:
Sb  0.0000  0.0000  0.0988
Ru  0.0000  0.0000  0.3679

N(E_F) = 16.44 states/eV/cell
energy relative to the elements, uncorrected = 0.34 eV/atom
V = 21.68 A^3/atom


6.
Computed, not measured: an optimized crystal structure of SbRu3 at the PBE-GGA level of DFT.

Unit cell a=2.928 b=2.928 c=7.290 alpha=90.00 beta=90.00 gamma=90.00
Space group P4/mmm (No. 123)
Inequivalent atoms, fractional coordinates:
Sb  0.000  0.000  0.000
Ru  0.000  0.000  0.500
Ru  0.500  0.500  0.259

N(E_F) = 4.54 states/eV/cell
energy relative to the elements, uncorrected = 0.31 eV/atom
V = 15.63 A^3/atom


| no. | total magnetic moment (μB per cell) | raw total energy (eV per atom) |
| --- | --- | --- |
| 1 | 9.83 | -7.679 |
| 2 | 0.00 | -5.362 |
| 3 | 0.00 | -4.995 |
| 4 | 8.74 | -4.528 |
| 5 | 1.79 | -6.362 |
| 6 | 0.00 | -7.682 |